Computed, not measured: an optimized crystal structure of PrGdGaAg at the GGA-PBE level of DFT.

The structure in POSCAR format:
```
PrGdGaAg
1.0
0.000 3.706 3.706
3.706 0.000 3.706
3.706 3.706 0.000
Pr Gd Ga Ag
1 1 1 1
Direct
0.000 0.000 0.000
0.500 0.500 0.500
0.250 0.250 0.250
0.750 0.750 0.750
```

## Properties
space-group type: F-43m (216)
DFT formation energy: -427 meV/atom
DOS at the Fermi energy: 3.73 states/eV/cell

Computed, not measured: an optimized crystal structure of GdPuGaAg at the GGA-PBE level of DFT.

The structure in POSCAR format:
```
GdPuGaAg
1.0
0.000 3.646 3.646
3.646 0.000 3.646
3.646 3.646 0.000
Gd Pu Ga Ag
1 1 1 1
Direct
0.000 0.000 0.000
0.500 0.500 0.500
0.250 0.250 0.250
0.750 0.750 0.750
```

## Properties
space-group type: F-43m (216)
DFT formation energy: -228 meV/atom
DOS at the Fermi energy: 10.07 states/eV/cell

Computed, not measured: an optimized crystal structure of GdGaAgRh at the GGA-PBE level of DFT.

The structure in POSCAR format:
```
GdGaAgRh
1.0
0.000 3.354 3.354
3.354 0.000 3.354
3.354 3.354 0.000
Gd Ga Ag Rh
1 1 1 1
Direct
0.000 0.000 0.000
0.500 0.500 0.500
0.750 0.750 0.750
0.250 0.250 0.250
```

## Properties
space-group type: F-43m (216)
DFT formation energy: -415 meV/atom
DOS at the Fermi energy: 2.93 states/eV/cell

Computed, not measured: an optimized crystal structure of SmGdGaAg at the GGA-PBE level of DFT.

The structure in POSCAR format:
```
SmGdGaAg
1.0
0.000 3.668 3.668
3.668 0.000 3.668
3.668 3.668 0.000
Sm Gd Ga Ag
1 1 1 1
Direct
0.000 0.000 0.000
0.500 0.500 0.500
0.750 0.750 0.750
0.250 0.250 0.250
```

## Properties
space-group type: F-43m (216)
DFT formation energy: -445 meV/atom
DOS at the Fermi energy: 3.71 states/eV/cell

Computed, not measured: an optimized crystal structure of GdGaAgSn at the GGA-PBE level of DFT.

The structure in POSCAR format:
```
GdGaAgSn
1.0
0.000 3.561 3.561
3.561 0.000 3.561
3.561 3.561 0.000
Gd Ga Ag Sn
1 1 1 1
Direct
0.000 0.000 0.000
0.250 0.250 0.250
0.750 0.750 0.750
0.500 0.500 0.500
```

## Properties
space-group type: F-43m (216)
DFT formation energy: -307 meV/atom
DOS at the Fermi energy: 3.11 states/eV/cell

Computed, not measured: an optimized crystal structure of TbGdGaAg at the GGA-PBE level of DFT.

The structure in POSCAR format:
```
TbGdGaAg
1.0
0.000 3.637 3.637
3.637 0.000 3.637
3.637 3.637 0.000
Tb Gd Ga Ag
1 1 1 1
Direct
0.000 0.000 0.000
0.500 0.500 0.500
0.250 0.250 0.250
0.750 0.750 0.750
```

## Properties
space-group type: F-43m (216)
DFT formation energy: -458 meV/atom
DOS at the Fermi energy: 3.52 states/eV/cell

Computed, not measured: an optimized crystal structure of GdZnGaAg at the GGA-PBE level of DFT.

The structure in POSCAR format:
```
GdZnGaAg
1.0
0.000 3.395 3.395
3.395 0.000 3.395
3.395 3.395 0.000
Gd Zn Ga Ag
1 1 1 1
Direct
0.000 0.000 0.000
0.250 0.250 0.250
0.750 0.750 0.750
0.500 0.500 0.500
```

## Properties
space-group type: F-43m (216)
DFT formation energy: -330 meV/atom
DOS at the Fermi energy: 2.61 states/eV/cell

Computed, not measured: an optimized crystal structure of GaAgGe at the GGA-PBE level of DFT.

The structure in POSCAR format:
```
GaAgGe
1.0
2.999 0.000 0.000
0.261 4.840 0.000
0.920 0.418 7.692
Ga Ag Ge
2 2 2
Direct
0.000 0.000 0.000
0.390 0.771 0.330
0.507 0.504 0.004
0.905 0.273 0.313
0.384 0.787 0.679
0.855 0.279 0.669
```

## Properties
space-group type: P1 (1)
DFT formation energy: 150 meV/atom
DOS at the Fermi energy: 1.75 states/eV/cell

DOS at the Fermi energy of number 2 (GdPuGaAg)?
10.07 states/eV/cell